1.
Compound: NbCuSn
Source: Alexandria
Functional: PBE-GGA
Structure: optimized geometry

a b c (Å): 3.681 5.299 6.256
angles (deg): 110.11 90.00 110.32
Fractional positions:
Nb: 0.331 0.661 0.664
Sn: 0.000 0.000 0.000
Cu: 0.677 0.354 0.839
Nb: 0.669 0.339 0.336
Cu: 0.323 0.646 0.161
Sn: 0.000 0.000 0.500

## Properties
Space-group type ... C2/m (12)
Raw total energy ... -6.01 eV/atom

---

2.
Compound: SiTcOs
Source: Alexandria
Functional: PBE-GGA
Structure: optimized geometry

a b c (Å): 4.099 4.099 4.099
angles (deg): 60.00 60.00 60.00
Fractional positions:
Tc: 0.500 0.500 0.500
Os: 0.750 0.750 0.750
Si: 0.000 0.000 0.000

## Properties
Energy relative to the elements, uncorrected ... -0.077 eV per atom
Space-group type ... F-43m (216)

---

3.
Compound: ErPu2Ge3Pt4
Source: Alexandria
Functional: PBE-GGA
Structure: optimized geometry

a b c (Å): 4.202 4.202 11.451
angles (deg): 90.00 90.00 90.00
Last column: magnetic moment on the atom in μB.
Fractional positions:
Pu: 0.500 0.000 0.231  5.30
Pt: 0.000 0.500 0.342  -0.03
Ge: 0.500 0.000 0.874  0.00
Pu: 0.000 0.500 0.769  5.30
Ge: 0.000 0.500 0.126  0.00
Er: 0.500 0.500 0.500  0.07
Pt: 0.000 0.000 0.000  0.09
Pt: 0.500 0.500 0.000  0.08
Ge: 0.000 0.000 0.500  -0.04
Pt: 0.500 0.000 0.658  -0.03

## Properties
Space-group type ... P-4m2 (115)
Raw total energy ... -7.89 eV/atom

---

4.
Compound: BaGaTeN2
Source: Alexandria
Functional: PBE-GGA
Structure: optimized geometry

a b c (Å): 5.214 5.214 7.070
angles (deg): 90.00 90.00 90.00
Last column: magnetic moment on the atom in μB.
Fractional positions:
N: 0.000 0.500 0.000  1.41
Te: 0.000 0.000 0.500  0.16
Ba: 0.000 0.000 0.000  0.06
N: 0.500 0.000 0.000  1.41
Ga: 0.500 0.500 0.500  0.00

## Properties
Energy relative to the elements, uncorrected ... 1.326 eV per atom
Space-group type ... P4/mmm (123)

---

5.
Compound: Cs3GaAu2
Source: Alexandria
Functional: PBE-GGA
Structure: optimized geometry

a b c (Å): 4.938 11.521 12.050
angles (deg): 69.96 78.18 77.62
Fractional positions:
Au: 0.115 0.525 0.245
Cs: 0.802 0.792 0.605
Au: 0.557 0.346 0.540
Cs: 0.328 0.337 0.006
Cs: 0.198 0.208 0.395
Ga: 0.585 0.508 0.322
Au: 0.885 0.475 0.755
Cs: 0.038 0.161 0.762
Ga: 0.415 0.492 0.678
Cs: 0.962 0.839 0.238
Au: 0.443 0.654 0.460
Cs: 0.672 0.663 0.994

## Properties
Space-group type ... C2/m (12)
Raw total energy ... -2.21 eV/atom

---

6.
Compound: KV
Source: Alexandria
Functional: PBE-GGA
Structure: optimized geometry

a b c (Å): 10.184 10.184 10.184
angles (deg): 90.00 90.00 90.00
Last column: magnetic moment on the atom in μB.
Fractional positions:
K: 0.783 0.217 0.783  0.01
K: 0.283 0.717 0.283  0.01
V: 0.422 0.422 0.422  0.13
K: 0.783 0.783 0.217  0.01
K: 0.283 0.283 0.717  0.01
V: 0.578 0.422 0.578  0.13
K: 0.217 0.217 0.217  0.01
K: 0.217 0.783 0.783  0.01
V: 0.922 0.922 0.922  0.13
V: 0.078 0.922 0.078  0.13
K: 0.717 0.717 0.717  0.01
K: 0.717 0.283 0.283  0.01
V: 0.922 0.078 0.078  0.13
V: 0.578 0.578 0.422  0.13
V: 0.422 0.578 0.578  0.13
V: 0.078 0.078 0.922  0.13

## Properties
Space-group type ... I-43m (217)
Raw total energy ... -3.87 eV/atom

---

| no. | calculated density (Mg/m³) | M_tot (μB/atom) |
| --- | --- | --- |
| 1 | 8.6 | 0.000 |
| 2 | 10.8 | 0.000 |
| 3 | 13.6 | 1.126 |
| 4 | 3.1 | 0.947 |
| 5 | 4.6 | 0.000 |
| 6 | 1.1 | 0.141 |